(1)
Material: SrThS2O8
Method: DFT, GGA-PBE
State: optimized geometry

Output
M_tot in μB/f.u.: 0.00
ΔE_f (raw) in eV per atom: -1.79

abc: 5.9687 5.9687 7.4766
angles: 90.00 90.00 120.00
Space group P-3 (No. 147)
Unique sites:
Sr: 0.0000 0.0000 0.0000 (multiplicity 1)
Th: 0.0000 0.0000 0.5000 (multiplicity 1)
S: 0.3333 0.6667 0.7110 (multiplicity 2)
O: 0.1340 0.4080 0.6409 (multiplicity 6)
O: 0.3333 0.6667 0.9073 (multiplicity 2)



(2)
Material: SrTiS2O8
Method: DFT, GGA-PBE
State: optimized geometry

Output
M_tot in μB/f.u.: 2.00
ΔE_f (raw) in eV per atom: -1.89

abc: 5.2230 5.2230 7.2020
angles: 90.00 90.00 120.00
Space group P-3 (No. 147)
Unique sites:
Sr: 0.0000 0.0000 0.0000 (multiplicity 1)
Ti: 0.0000 0.0000 0.5000 (multiplicity 1)
S: 0.3333 0.6667 0.7660 (multiplicity 2)
O: 0.1723 0.3544 0.7001 (multiplicity 6)
O: 0.3333 0.6667 0.9716 (multiplicity 2)